No. 1
VASP calculation (GGA-PBE) on a geometry-optimized Cr2Ni5Rh2 structure.

Calculated values
Its formation energy is -0.008 eV per atom. The calculation puts the offset from the most stable computed form at 0 meV per atom. The value obtained for the total energy is -62.93 eV per formula unit.

a = 3.571 Å, b = 5.749 Å, c = 5.773 Å
α = 107.23°, β = 90.00°, γ = 108.10°
Last column: magnetic moment on the atom in μB.
Fractional positions:
Ni  0.335  0.669  0.989  -0.06
Ni  0.781  0.563  0.666  -0.08
Rh  0.110  0.221  0.672  -0.14
Ni  0.000  0.000  0.000  -0.05
Ni  0.665  0.331  0.011  -0.06
Cr  0.560  0.120  0.333  1.37
Cr  0.440  0.880  0.667  1.37
Ni  0.219  0.437  0.334  -0.08
Rh  0.890  0.779  0.328  -0.14


No. 2
VASP calculation (GGA-PBE) on a geometry-optimized Cr2Ni3Rh structure.

Calculated values
Its formation energy is 0.208 eV per atom. The calculation puts the offset from the most stable computed form at 2 meV per atom. The value obtained for the total energy is -42.70 eV per formula unit.

a = 5.671 Å, b = 5.671 Å, c = 4.835 Å
α = 82.90°, β = 82.90°, γ = 106.93°
Fractional positions:
Cr  0.351  0.926  0.299
Rh  0.940  0.060  0.250
Ni  0.672  0.328  0.250
Cr  0.926  0.351  0.799
Ni  0.380  0.286  0.926
Ni  0.714  0.620  0.574
Ni  0.286  0.380  0.426
Rh  0.060  0.940  0.750
Cr  0.074  0.649  0.201
Cr  0.649  0.074  0.701
Ni  0.328  0.672  0.750
Ni  0.620  0.714  0.074


No. 3
VASP calculation (GGA-PBE) on a geometry-optimized Cr3Ni2Rh6 structure.

Calculated values
Its formation energy is -0.041 eV per atom. The value obtained for the total energy is -85.00 eV per formula unit.

a = 4.585 Å, b = 6.507 Å, c = 10.888 Å
α = 37.77°, β = 93.68°, γ = 117.96°
Last column: magnetic moment on the atom in μB.
Fractional positions:
Rh  0.893  0.437  0.645  0.07
Ni  0.279  0.650  0.085  0.04
Cr  0.168  0.067  0.738  -1.64
Rh  0.633  0.808  0.548  0.09
Ni  0.721  0.350  0.915  0.04
Cr  0.000  0.000  0.000  1.91
Rh  0.367  0.192  0.452  0.09
Cr  0.832  0.933  0.262  -1.64
Rh  0.438  0.713  0.826  0.16
Rh  0.107  0.563  0.355  0.07
Rh  0.562  0.287  0.174  0.16


No. 4
VASP calculation (GGA-PBE) on a geometry-optimized CrNiRuRh structure.

Calculated values
Its formation energy is 0.001 eV per atom. The calculation puts the offset from the most stable computed form at 0 meV per atom. The value obtained for the total energy is -32.03 eV per formula unit.

a = 3.595 Å, b = 3.731 Å, c = 3.829 Å
α = 90.00°, β = 90.00°, γ = 90.00°
Last column: magnetic moment on the atom in μB.
Fractional positions:
Rh  0.000  0.500  0.500  -0.19
Ni  0.500  0.000  0.500  -0.24
Ru  0.000  0.000  0.000  -0.52
Cr  0.500  0.500  0.000  1.60


No. 5
VASP calculation (GGA-PBE) on a geometry-optimized CrNiRuRh structure.

Calculated values
Its formation energy is 0.123 eV per atom. The calculation puts the offset from the most stable computed form at 123 meV per atom. The value obtained for the total energy is -31.54 eV per formula unit.

a = 4.167 Å, b = 4.167 Å, c = 4.167 Å
α = 60.00°, β = 60.00°, γ = 60.00°
Last column: magnetic moment on the atom in μB.
Fractional positions:
Rh  0.250  0.250  0.250  0.00
Ru  0.750  0.750  0.750  0.06
Ni  0.500  0.500  0.500  0.07
Cr  0.000  0.000  0.000  -0.09


No. 6
VASP calculation (GGA-PBE) on a geometry-optimized CrNiSbRh structure.

Calculated values
The value obtained for the formation energy from raw total energies is -0.28 eV/f.u. The value obtained for the total energy is -27.16 eV per formula unit.

a = 4.393 Å, b = 4.393 Å, c = 4.393 Å
α = 60.00°, β = 60.00°, γ = 60.00°
Last column: magnetic moment on the atom in μB.
Fractional positions:
Ni  0.500  0.500  0.500  0.15
Rh  0.000  0.000  0.000  0.05
Sb  0.250  0.250  0.250  -0.03
Cr  0.750  0.750  0.750  3.14


no.,volume (A^3/atom)
1,11.9
2,12.1
3,13.2
4,12.8
5,12.8
6,15.0